Entry 1:
DFT (GGA-PBE) results for a relaxed structure of HfZrAg2. Values from VASP.

Calculated values
The space group is P4mm (99). The calculated formation energy is -0.11 eV/atom.

```
&SYSTEM
  ibrav = 0, nat = 4, ntyp = 3
/
ATOMIC_SPECIES
Zr 91.22 Zr.upf
Ag 107.87 Ag.upf
Hf 178.49 Hf.upf
CELL_PARAMETERS angstrom
-3.329 0.808 0.581
-0.729 -3.361 0.498
1.295 0.679 6.476
ATOMIC_POSITIONS crystal
Zr 0.500 0.500 0.236
Ag 0.500 0.500 0.757
Ag 0.000 0.000 0.988
Hf 0.000 0.000 0.519
```

***

Entry 2:
DFT (GGA-PBE) results for a relaxed structure of Rb4Tm3ThTe8. Values from VASP.

Calculated values
The space group is R-3m (166). For the raw formation energy, the calculation gives -1300 meV per atom.

```
&SYSTEM
  ibrav = 0, nat = 16, ntyp = 4
/
ATOMIC_SPECIES
Te 127.60 Te.upf
Rb 85.47 Rb.upf
Tm 168.93 Tm.upf
Th 232.04 Th.upf
CELL_PARAMETERS angstrom
8.987 0.000 0.000
0.000 10.013 0.724
-4.494 -4.495 6.355
ATOMIC_POSITIONS crystal
Te 0.237 0.701 0.964
Te 0.763 0.299 0.526
Te 0.727 0.701 0.964
Te 0.763 0.299 0.036
Te 0.268 0.304 0.536
Te 0.237 0.701 0.474
Te 0.273 0.299 0.036
Te 0.732 0.696 0.464
Rb 0.000 0.000 0.000
Rb 0.500 0.000 0.500
Rb 0.000 0.000 0.500
Rb 0.500 0.000 0.000
Tm 0.500 0.500 0.000
Tm 0.500 0.500 0.500
Tm 0.000 0.500 0.500
Th 0.000 0.500 0.000
```

***

Entry 3:
DFT (GGA-PBE) results for a relaxed structure of LiPmGeTe3. Values from VASP.

Calculated values
The space group is P2_1/m (11). For the raw formation energy, the calculation gives -840 meV per atom.

```
&SYSTEM
  ibrav = 0, nat = 12, ntyp = 4
/
ATOMIC_SPECIES
Te 127.60 Te.upf
Ge 72.64 Ge.upf
Pm 145.00 Pm.upf
Li 6.94 Li.upf
CELL_PARAMETERS angstrom
4.249 0.000 0.000
0.000 8.841 0.025
0.000 -2.310 9.347
ATOMIC_POSITIONS crystal
Te 0.750 0.428 0.157
Te 0.250 0.097 0.883
Te 0.750 0.903 0.117
Te 0.250 0.572 0.843
Te 0.250 0.767 0.510
Te 0.750 0.233 0.490
Ge 0.250 0.668 0.145
Ge 0.750 0.332 0.855
Pm 0.750 0.815 0.764
Pm 0.250 0.185 0.236
Li 0.750 0.906 0.407
Li 0.250 0.094 0.593
```

***

Entry 4:
DFT (GGA-PBE) results for a relaxed structure of PaGaPdAu. Values from VASP.

Calculated values
The space group is F-43m (216). The calculated formation energy is -0.47 eV/atom.

```
&SYSTEM
  ibrav = 0, nat = 4, ntyp = 4
/
ATOMIC_SPECIES
Ga 69.72 Ga.upf
Pd 106.42 Pd.upf
Au 196.97 Au.upf
Pa 231.04 Pa.upf
CELL_PARAMETERS angstrom
4.823 0.000 0.000
2.412 4.177 0.000
2.412 1.392 3.938
ATOMIC_POSITIONS crystal
Ga 0.250 0.250 0.250
Pd 0.000 0.000 0.000
Au 0.500 0.500 0.500
Pa 0.750 0.750 0.750
```

***

What are the ρ values for these records? In order: 10.1, 5.8, 5.7, 12.6 g cm⁻³.